Density functional theory data (GGA-PBE) for Hf4FeGeN2 after structural relaxation.

a = 3.1756 Å, b = 3.1756 Å, c = 13.4553 Å
α = 90.00°, β = 90.00°, γ = 120.00°
Last column: nearest neighbours and their distance in Å.
Sites, in units of the cell vectors:
Hf (0.0000, 0.0000, 0.1442)  3 N 2.27
Hf (0.0000, 0.0000, 0.8558)  3 N 2.27
Hf (0.3333, 0.6667, 0.3400)  3 N 2.24
Hf (0.3333, 0.6667, 0.6600)  3 N 2.24
Fe (0.3333, 0.6667, 0.0000)  6 Hf 2.67
Ge (0.0000, 0.0000, 0.5000)  6 Hf 2.83
N (0.6667, 0.3333, 0.2440)  6 Hf 2.24-2.27
N (0.6667, 0.3333, 0.7560)  6 Hf 2.24-2.27

Values from the calculation:
Volume, Å³/f.u.: 117.5
Raw total energy, eV per atom: -9.65